[1]
Material: Ta2GaS
Method: DFT, GGA-PBE
State: optimized geometry

Cell lengths 4.4802, 4.4802, 4.4802 Å; angles 60.00, 60.00, 60.00 degrees
Last column: nearest neighbours and their distance in Å.
Fractional coordinates of all 4 atoms:
Ta 0.2500 0.2500 0.2500  4 S 2.74, 4 Ga 2.74
Ta 0.7500 0.7500 0.7500  4 Ga 2.74, 4 S 2.74
Ga 0.0000 0.0000 0.0000  8 Ta 2.74
S 0.5000 0.5000 0.5000  8 Ta 2.74

- size of the total moment (μB/atom) = 0.000
- space-group type = Fm-3m, No. 225
- raw formation energy (kJ per mole of atoms) = -2
- polymorph energy (0 for the lowest one) (eV per formula unit) = 0.00
- crystal system = cubic


[2]
Material: AlCoPt2
Method: DFT, GGA-PBE
State: optimized geometry

Cell lengths 8.9721, 8.9721, 8.9721 Å; angles 155.33, 155.33, 35.16 degrees
Last column: nearest neighbours and their distance in Å.
Fractional coordinates of all 8 atoms:
Al 0.0000 0.0000 0.0000  4 Pt 2.54, 4 Co 2.71
Al 0.7500 0.2500 0.5000  4 Pt 2.54, 4 Co 2.71
Co 0.2500 0.7500 0.5000  4 Pt 2.53, 4 Al 2.71
Co 0.5000 0.5000 0.0000  4 Pt 2.53, 4 Al 2.71
Pt 0.1294 0.6250 0.0044  2 Co 2.53, 2 Al 2.54, 4 Pt 2.69-2.73
Pt 0.3750 0.3794 0.5044  2 Co 2.53, 2 Al 2.54, 4 Pt 2.69-2.73
Pt 0.6206 0.1250 0.9956  2 Co 2.53, 2 Al 2.54, 4 Pt 2.69-2.73
Pt 0.8750 0.8706 0.4956  2 Co 2.53, 2 Al 2.54, 4 Pt 2.69-2.73

- size of the total moment (μB/atom) = 0.463
- space-group type = I-42d, No. 122
- crystal system = tetragonal
- formation enthalpy at 0 K (kJ per mole of atoms) = -13